TcHgBr: optimized geometry, GGA-PBE.

The structure belongs to space group Fmm2 (No. 42); the cell edges are 3.0762, 5.6745 and 15.2537 Å and the angles 90.00°, 90.00° and 90.00°. The asymmetric unit holds Tc at (0.0000, 0.0000, 0.0000), Hg at (0.0000, 0.0000, 0.3452) and Br at (0.0000, 0.0000, 0.6268).

The total energy comes out at -3.492 eV per atom. The calculation puts the formation energy (no corrections) at 0.622 eV/atom. Its crystal system is orthorhombic. Its excess energy over the best structure of this formula in the dataset is 135.1 meV per atom.